Entry 1:
! CrFe2MoBr (PBE, relaxed); values from VASP
&SYSTEM
  ibrav = 0, nat = 5, ntyp = 4
/
ATOMIC_SPECIES
Cr 52.00 Cr.upf
Mo 95.94 Mo.upf
Fe 55.84 Fe.upf
Br 79.90 Br.upf
CELL_PARAMETERS angstrom
4.323 0.000 0.000
0.000 4.447 0.000
0.000 0.000 4.323
ATOMIC_POSITIONS crystal
Cr 0.000 0.500 0.000
Mo 0.500 0.500 0.500
Fe 0.000 0.000 0.500
Fe 0.500 0.000 0.000
Br 0.000 0.000 0.000
! Final energy (eV per cell): -31.7
! N(E_F) (states/eV per cell): 6.601
! Formation energy (no corrections) (eV per atom): 1.48

---

Entry 2:
! CsRh2Au (PBE, relaxed); values from VASP
&SYSTEM
  ibrav = 0, nat = 4, ntyp = 3
/
ATOMIC_SPECIES
Cs 132.91 Cs.upf
Rh 102.91 Rh.upf
Au 196.97 Au.upf
CELL_PARAMETERS angstrom
0.000 3.433 3.433
3.433 0.000 3.433
3.433 3.433 0.000
ATOMIC_POSITIONS crystal
Cs 0.000 0.000 0.000
Rh 0.250 0.250 0.250
Rh 0.750 0.750 0.750
Au 0.500 0.500 0.500
! Final energy (eV per cell): -14.8
! N(E_F) (states/eV per cell): 8.735
! Formation energy (eV per atom): 0.996

---

Entry 3:
! MnPb (PBE, relaxed); values from VASP
&SYSTEM
  ibrav = 0, nat = 8, ntyp = 2
/
ATOMIC_SPECIES
Mn 54.94 Mn.upf
Pb 207.20 Pb.upf
CELL_PARAMETERS angstrom
4.400 0.000 0.000
0.000 5.057 0.000
0.000 0.000 7.866
ATOMIC_POSITIONS crystal
Mn 0.750 0.750 0.250
Mn 0.250 0.250 0.250
Mn 0.750 0.750 0.750
Mn 0.250 0.250 0.750
Pb 0.750 0.250 0.000
Pb 0.250 0.750 0.500
Pb 0.750 0.250 0.500
Pb 0.250 0.750 0.000
! Final energy (eV per cell): -47.5
! N(E_F) (states/eV per cell): 7.863
! Formation energy (eV per atom): 0.500

---

Entry 4:
! TaCo2GeH (PBE, relaxed); values from VASP
&SYSTEM
  ibrav = 0, nat = 5, ntyp = 4
/
ATOMIC_SPECIES
H 1.01 H.upf
Ge 72.64 Ge.upf
Co 58.93 Co.upf
Ta 180.95 Ta.upf
CELL_PARAMETERS angstrom
3.755 0.000 0.000
0.000 3.755 0.000
0.000 0.000 3.930
ATOMIC_POSITIONS crystal
H 0.000 0.000 0.000
Ge 0.500 0.500 0.500
Co 0.000 0.500 0.000
Co 0.500 0.000 0.000
Ta 0.000 0.000 0.500
! Final energy (eV per cell): -34.5
! N(E_F) (states/eV per cell): 4.604

---

Entry 5:
! Li2DyHo2Si2 (PBE, relaxed); values from VASP
&SYSTEM
  ibrav = 0, nat = 7, ntyp = 4
/
ATOMIC_SPECIES
Li 6.94 Li.upf
Dy 162.50 Dy.upf
Ho 164.93 Ho.upf
Si 28.09 Si.upf
CELL_PARAMETERS angstrom
4.414 0.000 0.000
2.207 3.823 0.000
2.207 1.274 8.787
ATOMIC_POSITIONS crystal
Li 0.601 0.601 0.197
Li 0.399 0.399 0.803
Dy 0.000 0.000 0.000
Ho 0.127 0.127 0.620
Ho 0.873 0.873 0.380
Si 0.736 0.736 0.791
Si 0.264 0.264 0.209
! Final energy (eV per cell): -31.2
! N(E_F) (states/eV per cell): 2.917
! Formation energy (no corrections) (eV per atom): -0.39

---

Entry 6:
! Pr6C2NCl3 (PBE, relaxed); values from VASP
&SYSTEM
  ibrav = 0, nat = 12, ntyp = 4
/
ATOMIC_SPECIES
Pr 140.91 Pr.upf
C 12.01 C.upf
N 14.01 N.upf
Cl 35.45 Cl.upf
CELL_PARAMETERS angstrom
-1.267 -0.244 -3.548
7.391 -3.257 -2.416
-5.202 -6.310 4.301
ATOMIC_POSITIONS crystal
Pr 0.348 0.888 0.697
Pr 0.679 0.551 0.359
Pr 0.652 0.112 0.303
Pr 0.012 0.214 0.024
Pr 0.988 0.786 0.976
Pr 0.321 0.449 0.641
C 0.835 0.670 0.670
C 0.165 0.330 0.330
N 0.500 0.000 0.000
Cl 0.500 0.500 0.000
Cl 0.831 0.167 0.662
Cl 0.169 0.833 0.338
! Final energy (eV per cell): -75.2
! N(E_F) (states/eV per cell): 3.764
! Formation energy (no corrections) (eV per atom): -1.19

---

Q: Which value of N(E_F) does entry 3 give?
A: 7.863 states/eV per cell

---

Q: Among the records above, which one has the highest final energy?
A: CsRh2Au